{
  "formula": "PaVGaMo",
  "functional": "PBE-GGA",
  "state": "optimized geometry",
  "spacegroup": "F-43m, No. 216",
  "dos_at_fermi_per_ev_cell": 15.679,
  "delta_e_f_ev_per_atom": -0.0468,
  "lattice": [[6.480, 0.000, 0.000], [0.000, 6.480, 0.000], [0.000, 0.000, 6.480]],
  "species": ["Pa", "Pa", "Pa", "Pa", "V", "V", "V", "V", "Ga", "Ga", "Ga", "Ga", "Mo", "Mo", "Mo", "Mo"],
  "fractional_positions": [[0.000, 0.000, 0.000], [0.000, 0.500, 0.500], [0.500, 0.000, 0.500], [0.500, 0.500, 0.000], [0.250, 0.250, 0.250], [0.250, 0.750, 0.750], [0.750, 0.250, 0.750], [0.750, 0.750, 0.250], [0.000, 0.000, 0.500], [0.000, 0.500, 0.000], [0.500, 0.000, 0.000], [0.500, 0.500, 0.500], [0.250, 0.250, 0.750], [0.250, 0.750, 0.250], [0.750, 0.250, 0.250], [0.750, 0.750, 0.750]]
}